No. 1
First-principles (GGA-PBEsol) data for Fe2SiC after structural relaxation, as listed in Alexandria.

* raw formation energy: 0.4487 eV per atom
* Fermi-level density of states: 0.934 states/eV/atom
* size of the total moment: 0.0 μB/f.u.
* space-group type: No. 122

POSCAR file:
```
Fe2SiC
1.0
-0.3694 -3.9705 2.8268
4.2443 0.4113 -3.0938
4.2566 1.1182 2.1268
Fe Si C
4 2 2
direct
0.2043 0.7500 0.8750
0.5457 0.7500 0.3750
0.8750 0.2500 0.5457
0.3750 0.2500 0.2043
0.0000 0.0000 0.0000
0.7500 0.5000 0.7500
0.5000 0.0000 0.5000
0.2500 0.5000 0.2500
```

***

No. 2
First-principles (GGA-PBEsol) data for Sm2Fe2Si2C after structural relaxation, as listed in Alexandria.

* raw formation energy: -0.7166 eV per atom
* Fermi-level density of states: 0.412 states/eV/atom
* size of the total moment: 0.0 μB/f.u.
* space-group type: No. 12

POSCAR file:
```
Sm2Fe2Si2C
1.0
3.9395 0.0000 0.0000
1.9698 5.2906 -0.0199
1.9698 0.9775 5.2469
Fe C Si Sm
2 1 2 2
direct
0.8009 0.3064 0.0918
0.1991 0.6936 0.9082
0.0000 0.0000 0.0000
0.1676 0.3919 0.2729
0.8324 0.6081 0.7271
0.4402 0.8234 0.2962
0.5598 0.1766 0.7038
```

***

No. 3
First-principles (GGA-PBEsol) data for UFe2SiC after structural relaxation, as listed in Alexandria.

* raw formation energy: -0.4220 eV per atom
* Fermi-level density of states: 1.221 states/eV/atom
* size of the total moment: 0.8 μB/f.u.
* space-group type: No. 63

POSCAR file:
```
UFe2SiC
1.0
3.6623 0.0000 0.0000
-1.8311 5.2926 0.0000
0.0000 0.0000 6.4301
C Si Fe U
2 2 4 2
direct
0.0000 0.0000 0.0000
0.0000 0.0000 0.5000
0.2808 0.5615 0.7500
0.7192 0.4385 0.2500
0.1641 0.3282 0.0523
0.8359 0.6718 0.9477
0.8359 0.6718 0.5523
0.1641 0.3282 0.4477
0.4382 0.8764 0.2500
0.5618 0.1236 0.7500
```

***

No. 4
First-principles (GGA-PBEsol) data for YFe2SiC after structural relaxation, as listed in Alexandria.

* raw formation energy: -0.6112 eV per atom
* Fermi-level density of states: 0.917 states/eV/atom
* size of the total moment: 0.3 μB/f.u.
* space-group type: No. 63

POSCAR file:
```
YFe2SiC
1.0
-0.3263 -0.8099 3.6139
2.0753 -4.2972 -2.6881
6.1317 2.2935 1.0676
C Fe Si Y
2 4 2 2
direct
0.0000 0.0000 0.0000
0.0000 0.0000 0.5000
0.8346 0.6693 0.9365
0.1654 0.3307 0.4365
0.8346 0.6693 0.5635
0.1654 0.3307 0.0635
0.7297 0.4593 0.2500
0.2703 0.5407 0.7500
0.5512 0.1025 0.7500
0.4488 0.8975 0.2500
```

***

No. 5
First-principles (GGA-PBEsol) data for Fe3SnC after structural relaxation, as listed in Alexandria.

* uncorrected energy: -0.3020 Ha/atom
* Fermi-level density of states: 1.024 states/eV/atom
* size of the total moment: 0.0 μB/f.u.
* space-group type: No. 221

POSCAR file:
```
Fe3SnC
1.0
3.7807 0.0000 0.0000
0.0000 3.7807 0.0000
0.0000 0.0000 3.7807
Fe Sn C
3 1 1
direct
0.0000 0.0000 0.5000
0.5000 0.0000 0.0000
0.0000 0.5000 0.0000
0.5000 0.5000 0.5000
0.0000 0.0000 0.0000
```

***

No. 6
First-principles (GGA-PBEsol) data for Fe3SnC after structural relaxation, as listed in Alexandria.

* uncorrected energy: -0.1953 Ha/atom
* Fermi-level density of states: 2.063 states/eV/atom
* size of the total moment: 7.7 μB/f.u.
* space-group type: No. 221

POSCAR file:
```
Fe3SnC
1.0
4.7094 0.0000 0.0000
0.0000 4.7094 0.0000
0.0000 0.0000 4.7094
Fe C Sn
3 1 1
direct
0.0000 0.0000 0.5000
0.5000 0.0000 0.0000
0.0000 0.5000 0.0000
0.5000 0.5000 0.5000
0.0000 0.0000 0.0000
```

***

No. 7
First-principles (GGA-PBEsol) data for YFeSnC2 after structural relaxation, as listed in Alexandria.

* uncorrected energy: -0.2077 Ha/atom
* Fermi-level density of states: 0.986 states/eV/atom
* size of the total moment: 3.3 μB/f.u.
* space-group type: No. 123

POSCAR file:
```
YFeSnC2
1.0
4.3788 0.0000 0.0000
0.0000 4.3788 0.0000
0.0000 0.0000 5.0600
Sn C Y Fe
1 2 1 1
direct
0.5000 0.5000 0.5000
0.0000 0.5000 0.0000
0.5000 0.0000 0.0000
0.0000 0.0000 0.0000
0.0000 0.0000 0.5000
```

***

No. 8
First-principles (GGA-PBEsol) data for TaFeC2 after structural relaxation, as listed in Alexandria.

* uncorrected energy: -0.3527 Ha/atom
* Fermi-level density of states: 0.545 states/eV/atom
* size of the total moment: 1.2 μB/f.u.
* space-group type: No. 225

POSCAR file:
```
TaFeC2
1.0
-2.9806 1.6286 -1.5310
-3.3577 -0.4180 1.5592
-1.6321 2.8805 1.7085
Fe Ta C
1 1 2
direct
0.0000 0.0000 0.0000
0.5000 0.5000 0.5000
0.2500 0.2500 0.2500
0.7500 0.7500 0.7500
```

***

No. 9
First-principles (GGA-PBEsol) data for TiFe3C after structural relaxation, as listed in Alexandria.

* uncorrected energy: -0.3416 Ha/atom
* Fermi-level density of states: 0.495 states/eV/atom
* size of the total moment: 0.0 μB/f.u.
* space-group type: No. 221

POSCAR file:
```
TiFe3C
1.0
-0.4386 3.6636 -0.2676
-2.5288 -0.1056 2.6982
2.6644 0.5029 2.5168
Fe C Ti
3 1 1
direct
0.5000 0.0000 0.0000
0.0000 0.5000 0.0000
0.0000 0.0000 0.5000
0.0000 0.0000 0.0000
0.5000 0.5000 0.5000
```

***

No. 10
First-principles (GGA-PBEsol) data for Ti2FeC2 after structural relaxation, as listed in Alexandria.

* uncorrected energy: -0.3196 Ha/atom
* Fermi-level density of states: 0.428 states/eV/atom
* size of the total moment: 2.8 μB/f.u.
* space-group type: No. 139

POSCAR file:
```
Ti2FeC2
1.0
3.9057 0.0000 0.0000
0.0000 3.9057 0.0000
-1.9529 -1.9529 3.9748
Ti C Fe
2 2 1
direct
0.3206 0.3206 0.6412
0.6794 0.6794 0.3588
0.7500 0.2500 0.5000
0.2500 0.7500 0.5000
0.0000 0.0000 0.0000
```

***

No. 11
First-principles (GGA-PBEsol) data for TlFeWC2 after structural relaxation, as listed in Alexandria.

* uncorrected energy: -0.2622 Ha/atom
* Fermi-level density of states: 0.630 states/eV/atom
* size of the total moment: 0.0 μB/f.u.
* space-group type: No. 123

POSCAR file:
```
TlFeWC2
1.0
3.7753 0.0000 0.0000
0.0000 3.7753 0.0000
0.0000 0.0000 4.8697
C W Fe Tl
2 1 1 1
direct
0.0000 0.5000 0.0000
0.5000 0.0000 0.0000
0.0000 0.0000 0.5000
0.0000 0.0000 0.0000
0.5000 0.5000 0.5000
```

***

No. 12
First-principles (GGA-PBEsol) data for Tm2FeC4 after structural relaxation, as listed in Alexandria.

* uncorrected energy: -0.3150 Ha/atom
* Fermi-level density of states: 0.124 states/eV/atom
* size of the total moment: 0.0 μB/f.u.
* space-group type: No. 72

POSCAR file:
```
Tm2FeC4
1.0
4.9109 0.0000 0.0000
2.4555 5.9327 -0.0133
2.4555 1.3549 5.7760
Fe C Tm
2 8 4
direct
0.7500 0.0000 0.0000
0.2500 0.0000 0.0000
0.0786 0.7554 0.0875
0.3700 0.7892 0.4707
0.1300 0.5293 0.2108
0.8700 0.4707 0.7892
0.6300 0.2108 0.5293
0.9214 0.2446 0.9125
0.5786 0.0875 0.7554
0.4214 0.9125 0.2446
0.8554 0.8002 0.4891
0.1446 0.1998 0.5109
0.6446 0.5109 0.1998
0.3554 0.4891 0.8002
```

***

No. 13
First-principles (GGA-PBEsol) data for Tm2Fe17C3 after structural relaxation, as listed in Alexandria.

* uncorrected energy: -0.3230 Ha/atom
* Fermi-level density of states: 1.031 states/eV/atom
* size of the total moment: 31.2 μB/f.u.
* space-group type: No. 194

POSCAR file:
```
Tm2Fe17C3
1.0
-7.3140 3.0087 -2.0062
0.6997 -3.4138 -7.6706
-3.5264 -4.3969 6.2621
Fe C Tm
34 6 4
direct
0.0204 0.1674 0.8326
0.7500 0.6192 0.9463
0.0204 0.6652 0.8326
0.7500 0.6192 0.6729
0.2500 0.9463 0.3271
0.2500 0.6729 0.6192
0.5204 0.8326 0.6652
0.7500 0.3271 0.9463
0.4796 0.1674 0.8326
0.5204 0.8326 0.1674
0.6066 0.3333 0.6667
0.5000 0.5000 0.5000
0.7500 0.0537 0.6729
0.5204 0.3348 0.1674
0.0000 0.5000 0.5000
0.8934 0.3333 0.6667
0.2500 0.3808 0.3271
0.5000 0.0000 0.5000
0.7500 0.0537 0.3808
0.2500 0.6729 0.0537
0.9796 0.8326 0.6652
0.9796 0.8326 0.1674
0.0204 0.1674 0.3348
0.4796 0.6652 0.8326
0.4796 0.1674 0.3348
0.0000 0.5000 0.0000
0.5000 0.5000 0.0000
0.2500 0.9463 0.6192
0.7500 0.3271 0.3808
0.1066 0.6667 0.3333
0.0000 0.0000 0.5000
0.9796 0.3348 0.1674
0.2500 0.3808 0.0537
0.3934 0.6667 0.3333
0.2500 0.1653 0.8347
0.2500 0.1653 0.3306
0.7500 0.3306 0.1653
0.7500 0.8347 0.6694
0.7500 0.8347 0.1653
0.2500 0.6694 0.8347
0.2500 0.3333 0.6667
0.7500 0.6667 0.3333
0.2500 0.0000 0.0000
0.7500 0.0000 0.0000
```

***

No. 14
First-principles (GGA-PBEsol) data for Tm2Fe17C3 after structural relaxation, as listed in Alexandria.

* uncorrected energy: -0.3230 Ha/atom
* Fermi-level density of states: 1.075 states/eV/atom
* size of the total moment: 30.2 μB/f.u.
* space-group type: No. 166

POSCAR file:
```
Tm2Fe17C3
1.0
-0.6006 2.8016 -5.6580
-5.8483 -2.0918 -1.2825
-3.1197 5.1430 2.0101
C Fe Tm
3 17 2
direct
0.5000 0.0000 0.5000
0.0000 0.5000 0.5000
0.5000 0.5000 0.0000
0.9040 0.9040 0.9040
0.3453 0.3453 0.8513
0.0000 0.0000 0.5000
0.0960 0.0960 0.0960
0.6547 0.6547 0.1487
0.1487 0.6547 0.6547
0.5000 0.0000 0.0000
0.6547 0.1487 0.6547
0.7177 0.2823 0.0000
0.3453 0.8513 0.3453
0.8513 0.3453 0.3453
0.0000 0.5000 0.0000
0.0000 0.2823 0.7177
0.0000 0.7177 0.2823
0.7177 0.0000 0.2823
0.2823 0.7177 0.0000
0.2823 0.0000 0.7177
0.6575 0.6575 0.6575
0.3425 0.3425 0.3425
```

***

No. 15
First-principles (GGA-PBEsol) data for V3Fe3C after structural relaxation, as listed in Alexandria.

* uncorrected energy: -0.3545 Ha/atom
* Fermi-level density of states: 0.910 states/eV/atom
* size of the total moment: 0.0 μB/f.u.
* space-group type: No. 227

POSCAR file:
```
V3Fe3C
1.0
7.4871 0.0000 0.0000
3.7435 6.4840 0.0000
3.7435 2.1613 6.1132
V C Fe
12 4 12
direct
0.5556 0.9444 0.9444
0.9444 0.5556 0.5556
0.9444 0.9444 0.5556
0.3056 0.6944 0.6944
0.3056 0.6944 0.3056
0.3056 0.3056 0.6944
0.6944 0.3056 0.3056
0.6944 0.3056 0.6944
0.9444 0.5556 0.9444
0.6944 0.6944 0.3056
0.5556 0.5556 0.9444
0.5556 0.9444 0.5556
0.6250 0.6250 0.6250
0.6250 0.1250 0.6250
0.1250 0.6250 0.6250
0.6250 0.6250 0.1250
0.3295 0.3295 0.3295
0.9205 0.9205 0.9205
0.0114 0.3295 0.3295
0.2386 0.9205 0.9205
0.9205 0.2386 0.9205
0.1250 0.6250 0.1250
0.6250 0.1250 0.1250
0.9205 0.9205 0.2386
0.3295 0.0114 0.3295
0.1250 0.1250 0.1250
0.1250 0.1250 0.6250
0.3295 0.3295 0.0114
```

***

No. 16
First-principles (GGA-PBEsol) data for Fe3W3C after structural relaxation, as listed in Alexandria.

* uncorrected energy: -0.4128 Ha/atom
* Fermi-level density of states: 0.716 states/eV/atom
* size of the total moment: 0.0 μB/f.u.
* space-group type: No. 227

POSCAR file:
```
Fe3W3C
1.0
7.7359 0.0000 0.0000
3.8679 6.6995 0.0000
3.8679 2.2332 6.3163
C W Fe
4 12 12
direct
0.6250 0.6250 0.1250
0.1250 0.6250 0.6250
0.6250 0.6250 0.6250
0.6250 0.1250 0.6250
0.2964 0.2964 0.7036
0.7036 0.7036 0.2964
0.9536 0.5464 0.9536
0.7036 0.2964 0.7036
0.7036 0.2964 0.2964
0.9536 0.5464 0.5464
0.9536 0.9536 0.5464
0.5464 0.5464 0.9536
0.2964 0.7036 0.7036
0.5464 0.9536 0.9536
0.2964 0.7036 0.2964
0.5464 0.9536 0.5464
0.9230 0.2309 0.9230
0.9230 0.9230 0.2309
0.0191 0.3270 0.3270
0.3270 0.0191 0.3270
0.9230 0.9230 0.9230
0.1250 0.6250 0.1250
0.1250 0.1250 0.6250
0.6250 0.1250 0.1250
0.3270 0.3270 0.3270
0.1250 0.1250 0.1250
0.2309 0.9230 0.9230
0.3270 0.3270 0.0191
```

***

No. 17
First-principles (GGA-PBEsol) data for Fe6W6C after structural relaxation, as listed in Alexandria.

* uncorrected energy: -0.4179 Ha/atom
* Fermi-level density of states: 1.092 states/eV/atom
* size of the total moment: 0.1 μB/f.u.
* space-group type: No. 227

POSCAR file:
```
Fe6W6C
1.0
-6.7488 -0.4636 3.5320
-0.2966 -0.5417 7.6062
-2.5478 5.8774 4.1474
Fe W C
12 12 2
direct
0.4222 0.4222 0.7333
0.8278 0.5167 0.8278
0.6250 0.6250 0.1250
0.8278 0.8278 0.5167
0.4222 0.7333 0.4222
0.7333 0.4222 0.4222
0.1250 0.6250 0.6250
0.4222 0.4222 0.4222
0.5167 0.8278 0.8278
0.6250 0.1250 0.6250
0.8278 0.8278 0.8278
0.6250 0.6250 0.6250
0.0509 0.4491 0.4491
0.1991 0.8009 0.8009
0.8009 0.1991 0.8009
0.0509 0.0509 0.4491
0.8009 0.8009 0.1991
0.4491 0.4491 0.0509
0.4491 0.0509 0.4491
0.1991 0.1991 0.8009
0.0509 0.4491 0.0509
0.8009 0.1991 0.1991
0.4491 0.0509 0.0509
0.1991 0.8009 0.1991
0.0000 0.0000 0.0000
0.2500 0.2500 0.2500
```

***

No. 18
First-principles (GGA-PBEsol) data for Fe21W2C6 after structural relaxation, as listed in Alexandria.

* uncorrected energy: -0.3496 Ha/atom
* Fermi-level density of states: 1.160 states/eV/atom
* size of the total moment: 1.5 μB/f.u.
* space-group type: No. 225

POSCAR file:
```
Fe21W2C6
1.0
-0.7335 0.6077 -7.1455
1.4546 -5.6274 -4.2641
-5.3575 -3.4417 -3.3790
Fe C W
21 6 2
direct
0.6651 0.0000 0.0000
0.6651 0.0000 0.3349
0.6164 0.6164 0.6164
0.0000 0.0000 0.6651
0.3349 0.0000 0.6651
0.0000 0.0000 0.3349
0.0000 0.0000 0.0000
0.0000 0.6651 0.0000
0.6651 0.3349 0.0000
0.0000 0.3349 0.6651
0.3836 0.8493 0.3836
0.3349 0.6651 0.0000
0.0000 0.6651 0.3349
0.8493 0.3836 0.3836
0.0000 0.3349 0.0000
0.3349 0.0000 0.0000
0.3836 0.3836 0.3836
0.3836 0.3836 0.8493
0.1507 0.6164 0.6164
0.6164 0.6164 0.1507
0.6164 0.1507 0.6164
0.7253 0.7253 0.2747
0.7253 0.2747 0.2747
0.2747 0.7253 0.7253
0.7253 0.2747 0.7253
0.2747 0.7253 0.2747
0.2747 0.2747 0.7253
0.2500 0.2500 0.2500
0.7500 0.7500 0.7500
```

***

No. 19
First-principles (GGA-PBEsol) data for ZrFeC2 after structural relaxation, as listed in Alexandria.

* uncorrected energy: -0.3239 Ha/atom
* Fermi-level density of states: 0.469 states/eV/atom
* size of the total moment: 0.2 μB/f.u.
* space-group type: No. 225

POSCAR file:
```
ZrFeC2
1.0
3.7994 0.0000 0.0000
1.8997 3.2903 0.0000
1.8997 1.0968 3.1022
C Zr Fe
2 1 1
direct
0.2500 0.2500 0.2500
0.7500 0.7500 0.7500
0.5000 0.5000 0.5000
0.0000 0.0000 0.0000
```